Material: K2OsAu
Method: DFT, SCAN
State: PBEsol geometry

Lattice parameters (Å, degrees): 6.296 6.296 6.296 154.47 132.32 54.86
Element x y z (fractional)
K  0.247  0.247  0.000
K  0.753  0.753  0.000
Os  0.500  0.000  0.500
Au  0.000  0.500  0.500

## Properties
The energy of formation comes out at 0.9001 eV per atom. As for the space group: Immm, No. 71. Its density of states at the Fermi level is 0.26 states/eV/atom. The value obtained for the electronic total energy is -154.1 eV per formula unit. The energy above the most stable polymorph in this dataset is 72.9 meV/atom. The total magnetization comes out at 0.0 μB/f.u.